No. 1
Density functional theory data (PBE) for a relaxed structure of Mn2BeNi.

Space-group type ... No. 119

Cell lengths 4.2815, 4.2815, 4.2815 Å; angles 131.43, 131.43, 71.14 degrees
Fractional positions:
Mn 0.0000 0.0000 0.0000
Mn 0.7500 0.2500 0.5000
Be 0.2500 0.7500 0.5000
Ni 0.5000 0.5000 0.0000

***

No. 2
Density functional theory data (PBE) for a relaxed structure of Mn2BeNi.

Space-group type ... No. 99

Cell lengths 2.6944, 2.6944, 5.5422 Å; angles 90.00, 90.00, 90.00 degrees
Fractional positions:
Mn 0.0000 0.0000 0.0000
Mn 0.5000 0.5000 0.2262
Be 0.5000 0.5000 0.7514
Ni 0.0000 0.0000 0.5360

***

No. 3
Density functional theory data (PBE) for a relaxed structure of MnBeNi2.

Space-group type ... No. 25

Cell lengths 2.5711, 3.3290, 5.0311 Å; angles 90.00, 90.00, 90.00 degrees
Fractional positions:
Mn 0.0000 0.0000 0.0000
Be 0.5000 0.5000 0.7279
Ni 0.0000 0.0000 0.5291
Ni 0.5000 0.5000 0.2519

***

No. 4
Density functional theory data (PBE) for a relaxed structure of Mn2BeNi.

Space-group type ... No. 122

Cell lengths 5.0643, 5.0643, 5.0643 Å; angles 102.39, 102.39, 124.82 degrees
Fractional positions:
Mn 0.1049 0.6250 0.9799
Mn 0.3750 0.3549 0.4799
Mn 0.6451 0.1250 0.0201
Mn 0.8750 0.8951 0.5201
Be 0.0000 0.0000 0.0000
Be 0.7500 0.2500 0.5000
Ni 0.2500 0.7500 0.5000
Ni 0.5000 0.5000 0.0000

***

No. 5
Density functional theory data (PBE) for a relaxed structure of MnBe3Ni2.

Space-group type ... No. 123

Cell lengths 2.6256, 2.6256, 8.0223 Å; angles 90.00, 90.00, 90.00 degrees
Fractional positions:
Mn 0.0000 0.0000 0.0000
Be 0.5000 0.5000 0.1794
Be 0.5000 0.5000 0.5000
Be 0.5000 0.5000 0.8206
Ni 0.0000 0.0000 0.3385
Ni 0.0000 0.0000 0.6615

***

No. 6
Density functional theory data (PBE) for a relaxed structure of MnBeNi3.

Space-group type ... No. 221
Excess energy over the best structure of this formula in the dataset ... 1085 meV per atom

Cell lengths 4.2486, 4.2486, 4.2486 Å; angles 90.00, 90.00, 90.00 degrees
Fractional positions:
Mn 0.0000 0.0000 0.0000
Be 0.5000 0.5000 0.5000
Ni 0.0000 0.0000 0.5000
Ni 0.0000 0.5000 0.0000
Ni 0.5000 0.0000 0.0000

***

No. 7
Density functional theory data (PBE) for a relaxed structure of MnBeNi.

Space-group type ... No. 216
Excess energy over the best structure of this formula in the dataset ... 387 meV per atom

Cell lengths 3.6728, 3.6728, 3.6728 Å; angles 60.00, 60.00, 60.00 degrees
Fractional positions:
Mn 0.0000 0.0000 0.0000
Be 0.2500 0.2500 0.2500
Ni 0.5000 0.5000 0.5000

***

No. 8
Density functional theory data (PBE) for a relaxed structure of MnBeNi3.

Space-group type ... No. 221
Excess energy over the best structure of this formula in the dataset ... 0 meV per atom

Cell lengths 3.8869, 3.8869, 3.8869 Å; angles 90.00, 90.00, 90.00 degrees
Fractional positions:
Mn 0.0000 0.0000 0.0000
Be 0.5000 0.5000 0.5000
Ni 0.0000 0.5000 0.5000
Ni 0.5000 0.0000 0.5000
Ni 0.5000 0.5000 0.0000

***

No. 9
Density functional theory data (PBE) for a relaxed structure of MnBeNi5.

Space-group type ... No. 15
Excess energy over the best structure of this formula in the dataset ... 126 meV per atom

Cell lengths 4.8210, 4.8210, 8.0787 Å; angles 109.11, 109.11, 75.48 degrees
Fractional positions:
Mn 0.0662 0.9338 0.7500
Mn 0.9338 0.0662 0.2500
Be 0.0000 0.5000 0.0000
Be 0.5000 0.0000 0.5000
Ni 0.1475 0.4062 0.7478
Ni 0.2532 0.5135 0.5026
Ni 0.3466 0.6534 0.2500
Ni 0.4062 0.1475 0.2478
Ni 0.4865 0.7468 0.9974
Ni 0.5135 0.2532 0.0026
Ni 0.5938 0.8525 0.7522
Ni 0.6534 0.3466 0.7500
Ni 0.7468 0.4865 0.4974
Ni 0.8525 0.5938 0.2522

***

No. 10
Density functional theory data (PBE) for a relaxed structure of MnBe2Ni2.

Space-group type ... No. 127
Excess energy over the best structure of this formula in the dataset ... 15 meV per atom

Cell lengths 6.4261, 6.4261, 2.4873 Å; angles 90.00, 90.00, 90.00 degrees
Fractional positions:
Mn 0.0000 0.0000 0.0000
Mn 0.5000 0.5000 0.0000
Be 0.1612 0.3388 0.5000
Be 0.3388 0.8388 0.5000
Be 0.6612 0.1612 0.5000
Be 0.8388 0.6612 0.5000
Ni 0.1355 0.6355 0.0000
Ni 0.3645 0.1355 0.0000
Ni 0.6355 0.8645 0.0000
Ni 0.8645 0.3645 0.0000

***

No. 11
Density functional theory data (PBE) for a relaxed structure of MnBe8Ni3.

Space-group type ... No. 156

Cell lengths 4.1987, 4.1987, 6.7974 Å; angles 90.00, 90.00, 120.00 degrees
Fractional positions:
Mn 0.0000 0.0000 0.0000
Be 0.1628 0.3257 0.6858
Be 0.1628 0.8372 0.6858
Be 0.3333 0.6667 0.4428
Be 0.3333 0.6667 0.9397
Be 0.5034 0.0067 0.1964
Be 0.5034 0.4966 0.1964
Be 0.6743 0.8372 0.6858
Be 0.9933 0.4966 0.1964
Ni 0.0000 0.0000 0.3722
Ni 0.6667 0.3333 0.5032
Ni 0.6667 0.3333 0.8895

***

No. 12
Density functional theory data (PBE) for a relaxed structure of Mn2BeNi.

Space-group type ... No. 123

Cell lengths 2.4840, 2.4840, 6.7676 Å; angles 90.00, 90.00, 90.00 degrees
Fractional positions:
Mn 0.0000 0.0000 0.2329
Mn 0.0000 0.0000 0.7671
Be 0.5000 0.5000 0.0000
Ni 0.5000 0.5000 0.5000

***

no.,energy of formation (eV/atom),M_tot (μB/f.u.)
1,-0.1126,0.2
2,-0.0821,0.0
3,-0.1024,4.1
4,0.4905,6.0
5,-0.3394,2.2
6,1.2896,4.3
7,0.2055,3.4
8,0.2043,5.0
9,0.0855,5.7
10,-0.1564,3.8
11,-0.2989,3.2
12,0.0145,3.9